(1)
## NaCr3C4O12 (GGA+U)

Data for an optimized crystal structure of NaCr3C4O12.

```
NaCr3C4O12
1.0
6.194 0.078 0.108
-1.417 6.030 0.108
-1.417 -1.811 5.753
Na Cr C O
1 3 4 12
direct
0.000 0.000 0.000 Na
0.540 0.460 0.000 Cr
0.460 0.000 0.540 Cr
0.000 0.540 0.460 Cr
0.958 0.042 0.500 C
0.042 0.500 0.958 C
0.500 0.958 0.042 C
0.500 0.500 0.500 C
0.500 0.366 0.634 O
0.905 0.500 0.095 O
0.095 0.905 0.500 O
0.500 0.095 0.905 O
0.392 0.988 0.196 O
0.196 0.392 0.988 O
0.988 0.196 0.392 O
0.608 0.804 0.012 O
0.012 0.608 0.804 O
0.804 0.012 0.608 O
0.634 0.500 0.366 O
0.366 0.634 0.500 O
```

## Properties
SG ... R32
Calculated total energy ... -7.5763 eV per atom



(2)
## NaCrC2O6 (GGA+U)

Data for an optimized crystal structure of NaCrC2O6.

```
NaCrC2O6
1.0
-0.651 -4.173 2.244
-2.162 -3.618 -2.259
3.868 -4.329 -1.831
Na Cr C O
1 1 2 6
direct
0.000 0.000 0.000 Na
0.500 0.500 0.500 Cr
0.763 0.763 0.710 C
0.237 0.237 0.290 C
0.048 0.509 0.715 O
0.727 0.048 0.715 O
0.491 0.273 0.285 O
0.952 0.491 0.285 O
0.273 0.952 0.285 O
0.509 0.727 0.715 O
```

## Properties
SG ... R-3
Calculated total energy ... -7.3673 eV per atom



(3)
## Na2CrC2O6 (GGA+U)

Data for an optimized crystal structure of Na2CrC2O6.

```
Na2CrC2O6
1.0
5.128 0.000 0.000
-2.564 4.441 0.000
0.000 0.000 6.014
Na Cr C O
2 1 2 6
direct
0.667 0.333 0.680 Na
0.333 0.667 0.320 Na
0.000 0.000 0.000 Cr
0.333 0.667 0.791 C
0.667 0.333 0.209 C
0.123 0.384 0.785 O
0.616 0.739 0.785 O
0.261 0.877 0.785 O
0.877 0.616 0.215 O
0.384 0.261 0.215 O
0.739 0.123 0.215 O
```

## Properties
SG ... P-3
Calculated total energy ... -6.8546 eV per atom



(4)
## NaCrCO5 (GGA+U)

Data for an optimized crystal structure of NaCrCO5.

```
NaCrCO5
1.0
5.193 0.076 -0.111
-1.443 4.988 -0.111
-1.690 -2.283 6.235
Na Cr C O
2 2 2 10
direct
0.336 0.664 0.250 Na
0.664 0.336 0.750 Na
0.000 0.000 0.500 Cr
0.000 0.000 0.000 Cr
0.693 0.307 0.250 C
0.307 0.693 0.750 C
0.068 0.932 0.250 O
0.932 0.068 0.750 O
0.883 0.316 0.141 O
0.117 0.684 0.859 O
0.684 0.117 0.359 O
0.316 0.883 0.641 O
0.748 0.582 0.401 O
0.252 0.418 0.599 O
0.418 0.252 0.099 O
0.582 0.748 0.901 O
```

## Properties
SG ... C2/c
Calculated total energy ... -6.5943 eV per atom



(5)
## Na2CrPCO7 (GGA+U)

Data for an optimized crystal structure of Na2CrPCO7.

```
Na2CrPCO7
1.0
-2.416 -0.240 4.645
-1.586 -8.831 -0.946
5.701 -1.334 2.896
Na Cr P C O
4 2 2 2 14
direct
0.239 0.232 0.491 Na
0.239 0.232 0.009 Na
0.761 0.768 0.509 Na
0.761 0.768 0.991 Na
0.213 0.648 0.250 Cr
0.787 0.352 0.750 Cr
0.717 0.425 0.250 P
0.283 0.575 0.750 P
0.724 0.083 0.750 C
0.276 0.917 0.250 C
0.310 0.053 0.250 O
0.690 0.947 0.750 O
0.949 0.144 0.750 O
0.051 0.856 0.250 O
0.535 0.185 0.750 O
0.465 0.815 0.250 O
0.151 0.423 0.750 O
0.849 0.577 0.250 O
0.420 0.453 0.250 O
0.580 0.547 0.750 O
0.799 0.334 0.059 O
0.799 0.334 0.441 O
0.201 0.666 0.559 O
0.201 0.666 0.941 O
```

## Properties
SG ... P2_1/m
Calculated total energy ... -6.9503 eV per atom



(6)
## Na6Cr2PC4O16 (GGA+U)

Data for an optimized crystal structure of Na6Cr2PC4O16.

```
Na6Cr2PC4O16
1.0
-8.354 -1.205 -5.228
-7.776 -4.644 4.068
-8.148 5.137 2.408
Na Cr P C O
12 4 2 8 32
direct
0.455 0.455 0.045 Na
0.455 0.045 0.455 Na
0.455 0.045 0.045 Na
0.205 0.205 0.795 Na
0.045 0.455 0.455 Na
0.045 0.455 0.045 Na
0.205 0.795 0.205 Na
0.205 0.795 0.795 Na
0.045 0.045 0.455 Na
0.795 0.205 0.795 Na
0.795 0.205 0.205 Na
0.795 0.795 0.205 Na
0.625 0.625 0.125 Cr
0.625 0.625 0.625 Cr
0.625 0.125 0.625 Cr
0.125 0.625 0.625 Cr
0.000 0.000 0.000 P
0.250 0.250 0.250 P
0.478 0.841 0.841 C
0.409 0.409 0.772 C
0.409 0.409 0.409 C
0.409 0.772 0.409 C
0.841 0.478 0.841 C
0.841 0.841 0.478 C
0.841 0.841 0.841 C
0.772 0.409 0.409 C
0.476 0.725 0.983 O
0.476 0.816 0.725 O
0.476 0.983 0.816 O
0.525 0.267 0.774 O
0.064 0.807 0.064 O
0.434 0.267 0.525 O
0.525 0.434 0.267 O
0.064 0.064 0.064 O
0.064 0.064 0.807 O
0.434 0.525 0.774 O
0.267 0.434 0.774 O
0.807 0.064 0.064 O
0.525 0.774 0.434 O
0.267 0.525 0.434 O
0.434 0.774 0.267 O
0.983 0.476 0.725 O
0.267 0.774 0.525 O
0.816 0.476 0.983 O
0.983 0.725 0.816 O
0.725 0.476 0.816 O
0.443 0.186 0.186 O
0.983 0.816 0.476 O
0.816 0.725 0.476 O
0.186 0.186 0.443 O
0.186 0.186 0.186 O
0.725 0.816 0.983 O
0.816 0.983 0.725 O
0.186 0.443 0.186 O
0.725 0.983 0.476 O
0.774 0.267 0.434 O
0.774 0.434 0.525 O
0.774 0.525 0.267 O
```

## Properties
SG ... Fd-3
Calculated total energy ... -6.7500 eV per atom



(7)
## Na4Cr2PC4O16 (GGA+U)

Data for an optimized crystal structure of Na4Cr2PC4O16.

```
Na4Cr2PC4O16
1.0
9.757 0.005 0.000
-0.086 9.757 0.000
-4.836 -4.881 7.150
Na Cr P C O
8 4 2 8 32
direct
0.960 0.040 0.500 Na
0.960 0.460 0.500 Na
0.710 0.710 0.000 Na
0.710 0.290 0.000 Na
0.540 0.460 0.500 Na
0.540 0.040 0.500 Na
0.290 0.290 0.000 Na
0.290 0.710 0.000 Na
0.125 0.875 0.750 Cr
0.625 0.875 0.750 Cr
0.125 0.875 0.250 Cr
0.125 0.375 0.250 Cr
0.500 0.500 0.000 P
0.750 0.250 0.500 P
0.907 0.083 0.169 C
0.988 0.664 0.331 C
0.917 0.093 0.831 C
0.914 0.738 0.831 C
0.336 0.012 0.669 C
0.333 0.657 0.669 C
0.262 0.086 0.169 C
0.343 0.667 0.331 C
0.019 0.057 0.287 O
0.561 0.692 0.123 O
0.768 0.967 0.026 O
0.992 0.691 0.474 O
0.033 0.232 0.974 O
0.982 0.780 0.300 O
0.308 0.439 0.877 O
0.561 0.430 0.123 O
0.480 0.682 0.700 O
0.941 0.742 0.974 O
0.982 0.520 0.213 O
0.570 0.439 0.877 O
0.943 0.981 0.713 O
0.770 0.732 0.713 O
0.932 0.230 0.200 O
0.220 0.018 0.700 O
0.030 0.732 0.800 O
0.318 0.520 0.300 O
0.480 0.018 0.787 O
0.307 0.769 0.787 O
0.680 0.311 0.623 O
0.268 0.230 0.287 O
0.309 0.008 0.526 O
0.770 0.068 0.800 O
0.689 0.320 0.377 O
0.942 0.311 0.623 O
0.268 0.970 0.200 O
0.217 0.518 0.526 O
0.258 0.059 0.026 O
0.482 0.783 0.474 O
0.689 0.058 0.377 O
0.231 0.693 0.213 O
```

## Properties
SG ... Fddd
Calculated total energy ... -6.9319 eV per atom



(8)
## NaCrPCO7 (GGA+U)

Data for an optimized crystal structure of NaCrPCO7.

```
NaCrPCO7
1.0
-1.118 2.252 5.757
-4.161 -3.115 0.410
5.328 -6.722 3.665
Na Cr P C O
2 2 2 2 14
direct
0.458 0.798 0.791 Na
0.958 0.202 0.209 Na
0.763 0.224 0.654 Cr
0.263 0.776 0.346 Cr
0.257 0.282 0.565 P
0.757 0.718 0.435 P
0.750 0.316 0.906 C
0.250 0.684 0.094 C
0.260 0.622 0.968 O
0.755 0.082 0.853 O
0.736 0.487 0.796 O
0.060 0.223 0.662 O
0.448 0.205 0.660 O
0.746 0.883 0.572 O
0.266 0.570 0.527 O
0.766 0.430 0.473 O
0.246 0.117 0.428 O
0.948 0.795 0.340 O
0.560 0.777 0.338 O
0.236 0.513 0.204 O
0.255 0.918 0.147 O
0.760 0.378 0.032 O
```

## Properties
SG ... P2_1
Calculated total energy ... -7.0684 eV per atom



no.,density (Mg/m³)
1,3.19
2,3.01
3,2.64
4,3.48
5,2.72
6,2.77
7,2.59
8,2.50